AgRu2Rh2 after structural relaxation. Source: Alexandria via LeMat-Bulk, functional PBE-GGA.

The structure belongs to space group P4/mbm (No. 127); the cell edges are 7.547, 7.547 and 2.726 Å and the angles 90.00°, 90.00° and 90.00°. The asymmetric unit holds Ag at (0.000, 0.000, 0.000), Ru at (0.173, 0.327, 0.500) and Rh at (0.122, 0.622, 0.000).

For the total moment, the calculation gives 1.35 μB per cell. The value obtained for the formation energy is 355 meV per atom. The calculated volume is 15.52 Å³/atom. As for the relative energy among the computed polymorphs: 0.032 eV/atom.